Material: YNiIrO6
Method: DFT, PBE+U
State: optimized geometry

* final energy: -6.637 eV/atom

Unit cell a=5.407 b=5.407 c=8.537 alpha=90.00 beta=90.00 gamma=120.00
Each line ends with the local moment (μB).
Sites, in units of the cell vectors:
Y  0.333  0.667  0.250  -0.01
Y  0.667  0.333  0.750  -0.01
Ni  0.000  0.000  0.000  1.75
Ni  0.000  0.000  0.500  1.75
Ir  0.667  0.333  0.250  -0.82
Ir  0.333  0.667  0.750  -0.82
O  0.681  0.636  0.122  -0.10
O  0.955  0.319  0.122  -0.10
O  0.319  0.955  0.622  -0.10
O  0.045  0.681  0.878  -0.10
O  0.364  0.319  0.378  -0.10
O  0.955  0.636  0.378  -0.10
O  0.636  0.955  0.878  -0.10
O  0.681  0.045  0.378  -0.10
O  0.045  0.364  0.622  -0.10
O  0.364  0.045  0.122  -0.10
O  0.636  0.681  0.622  -0.10
O  0.319  0.364  0.878  -0.10